Compound: Pm6Sm3Sc
Source: the Alexandria database
Functional: PBE
Structure: optimized geometry

## Properties
Total moment in μB/f.u.: 0.0
Calculated volume in Å³ per cell: 1011.5
Density of states at the Fermi level in states/eV per atom: 1.98
Calculated formation energy in eV/f.u.: 2.16
Energy relative to the lowest polymorph listed for this composition in eV/f.u.: 0.76

Geometry as CIF:
```
data_Pm6Sm3Sc
_chemical_formula_sum 'Pm18 Sm9 Sc3'
_cell_length_a 9.9456
_cell_length_b 9.9456
_cell_length_c 11.8077
_cell_angle_alpha 90.00
_cell_angle_beta 90.00
_cell_angle_gamma 120.00
_space_group_name_H-M_alt 'R -3'
_space_group_IT_number 148
_space_group_name_Hall '-R 3'
loop_
_atom_site_label
_atom_site_type_symbol
_atom_site_fract_x
_atom_site_fract_y
_atom_site_fract_z
_atom_site_occupancy
Pm1 Pm 0.0010 0.3392 0.0834 1
Sm1 Sm 0.0000 0.0000 0.0000 1
Sm2 Sm 0.0000 0.0000 0.2545 1
Sc1 Sc 0.0000 0.0000 0.5000 1
```


Compound: Pm3SmSc
Source: the Alexandria database
Functional: PBE
Structure: optimized geometry

## Properties
Total moment in μB/f.u.: 0.0
Calculated volume in Å³ per cell: 1305.2
Density of states at the Fermi level in states/eV per atom: 1.53
Calculated formation energy in eV/f.u.: 0.45
Energy relative to the lowest polymorph listed for this composition in eV/f.u.: 0.08

Geometry as CIF:
```
data_Pm3SmSc
_chemical_formula_sum 'Pm24 Sm8 Sc8'
_cell_length_a 20.0291
_cell_length_b 9.8454
_cell_length_c 6.6337
_cell_angle_alpha 90.00
_cell_angle_beta 93.85
_cell_angle_gamma 90.00
_space_group_name_H-M_alt 'C 1 2/c 1'
_space_group_IT_number 15
loop_
_space_group_symop_operation_xyz
'x,y,z'
'-x,-y,-z'
'-x,y,-z+1/2'
'x,-y,z+1/2'
'x+1/2,y+1/2,z'
'-x+1/2,-y+1/2,-z'
'-x+1/2,y+1/2,-z+1/2'
'x+1/2,-y+1/2,z+1/2'
loop_
_atom_site_label
_atom_site_type_symbol
_atom_site_fract_x
_atom_site_fract_y
_atom_site_fract_z
_atom_site_occupancy
Pm1 Pm 0.0760 0.0590 0.3940 1
Pm2 Pm 0.1502 0.3945 0.5825 1
Pm3 Pm 0.1635 0.2505 0.0727 1
Sm1 Sm 0.0000 0.2520 0.7500 1
Sm2 Sm 0.0000 0.4001 0.2500 1
Sc1 Sc 0.2163 0.0616 0.6822 1
```


Copy entry 2 word for word.
Compound: Pm3SmSc
Source: the Alexandria database
Functional: PBE
Structure: optimized geometry

## Properties
Total moment in μB/f.u.: 0.0
Calculated volume in Å³ per cell: 1305.2
Density of states at the Fermi level in states/eV per atom: 1.53
Calculated formation energy in eV/f.u.: 0.45
Energy relative to the lowest polymorph listed for this composition in eV/f.u.: 0.08

Geometry as CIF:
```
data_Pm3SmSc
_chemical_formula_sum 'Pm24 Sm8 Sc8'
_cell_length_a 20.0291
_cell_length_b 9.8454
_cell_length_c 6.6337
_cell_angle_alpha 90.00
_cell_angle_beta 93.85
_cell_angle_gamma 90.00
_space_group_name_H-M_alt 'C 1 2/c 1'
_space_group_IT_number 15
loop_
_space_group_symop_operation_xyz
'x,y,z'
'-x,-y,-z'
'-x,y,-z+1/2'
'x,-y,z+1/2'
'x+1/2,y+1/2,z'
'-x+1/2,-y+1/2,-z'
'-x+1/2,y+1/2,-z+1/2'
'x+1/2,-y+1/2,z+1/2'
loop_
_atom_site_label
_atom_site_type_symbol
_atom_site_fract_x
_atom_site_fract_y
_atom_site_fract_z
_atom_site_occupancy
Pm1 Pm 0.0760 0.0590 0.3940 1
Pm2 Pm 0.1502 0.3945 0.5825 1
Pm3 Pm 0.1635 0.2505 0.0727 1
Sm1 Sm 0.0000 0.2520 0.7500 1
Sm2 Sm 0.0000 0.4001 0.2500 1
Sc1 Sc 0.2163 0.0616 0.6822 1
```